i:
## Cu2SF (PBE)

Data for Cu2SF after structural relaxation.

As for the crystal system: trigonal.

Unit cell a=3.554 b=3.554 c=5.959 alpha=90.00 beta=90.00 gamma=120.00
Sites, in units of the cell vectors:
Cu 0.000 0.000 0.000
Cu 0.333 0.667 0.487
S 0.333 0.667 0.129
F 0.000 0.000 0.638

ii:
## Cu2SF (PBE)

Data for Cu2SF after structural relaxation.

As for the crystal system: trigonal.

Unit cell a=5.947 b=5.947 c=5.947 alpha=32.80 beta=32.80 gamma=32.80
Sites, in units of the cell vectors:
Cu 0.000 0.000 0.000
Cu 0.180 0.180 0.180
S 0.588 0.588 0.588
F 0.408 0.408 0.408

iii:
## Cu2SF (PBE)

Data for Cu2SF after structural relaxation.

As for the crystal system: trigonal.

Unit cell a=6.109 b=6.109 c=6.109 alpha=35.02 beta=35.02 gamma=35.02
Sites, in units of the cell vectors:
Cu 0.112 0.112 0.112
Cu 0.888 0.888 0.888
S 0.500 0.500 0.500
F 0.000 0.000 0.000

Which of them is the most stable? Correct choice: iii.

i:
## Cu2SbF8 (PBE)

Data for Cu2SbF8 after structural relaxation.

As for the crystal system: trigonal.

Unit cell a=6.595 b=6.595 c=3.984 alpha=90.00 beta=90.00 gamma=120.00
Sites, in units of the cell vectors:
Cu 0.333 0.667 0.250
Cu 0.667 0.333 0.750
Sb 0.000 0.000 0.000
F 0.146 0.291 0.253
F 0.146 0.854 0.253
F 0.291 0.146 0.747
F 0.333 0.667 0.749
F 0.667 0.333 0.251
F 0.709 0.854 0.253
F 0.854 0.146 0.747
F 0.854 0.709 0.747

ii:
## Cu2SbF8 (PBE)

Data for Cu2SbF8 after structural relaxation.

As for the crystal system: monoclinic.

Unit cell a=5.966 b=5.966 c=4.319 alpha=90.40 beta=90.40 gamma=77.45
Sites, in units of the cell vectors:
Cu 0.114 0.114 0.255
Cu 0.886 0.886 0.745
Sb 0.500 0.500 0.000
F 0.097 0.097 0.750
F 0.223 0.595 0.760
F 0.328 0.328 0.258
F 0.405 0.777 0.240
F 0.595 0.223 0.760
F 0.672 0.672 0.742
F 0.777 0.405 0.240
F 0.903 0.903 0.250

Which of them is the most stable? Correct choice: ii.

i:
## ScCuF2 (PBE)

Data for ScCuF2 after structural relaxation.

As for the crystal system: trigonal.

Unit cell a=9.070 b=9.070 c=9.070 alpha=18.86 beta=18.86 gamma=18.86
Sites, in units of the cell vectors:
Sc 0.000 0.000 0.000
Cu 0.500 0.500 0.500
F 0.381 0.381 0.381
F 0.619 0.619 0.619

ii:
## ScCuF2 (PBE)

Data for ScCuF2 after structural relaxation.

As for the crystal system: cubic.

Unit cell a=4.136 b=4.136 c=4.136 alpha=60.00 beta=60.00 gamma=60.00
Sites, in units of the cell vectors:
Sc 0.000 0.000 0.000
Cu 0.500 0.500 0.500
F 0.250 0.250 0.250
F 0.750 0.750 0.750

iii:
## ScCuF2 (PBE)

Data for ScCuF2 after structural relaxation.

As for the crystal system: tetragonal.

Unit cell a=7.040 b=7.040 c=7.040 alpha=138.52 beta=138.52 gamma=60.10
Sites, in units of the cell vectors:
Sc 0.000 0.000 0.000
Sc 0.750 0.250 0.500
Cu 0.250 0.750 0.500
Cu 0.500 0.500 0.000
F 0.375 0.181 0.306
F 0.819 0.125 0.194
F 0.875 0.069 0.694
F 0.931 0.625 0.806

Which of them is the most stable? Correct choice: i.

i:
## CuSe3F (PBE)

Data for CuSe3F after structural relaxation.

As for the crystal system: cubic.

Unit cell a=4.714 b=4.714 c=4.714 alpha=90.00 beta=90.00 gamma=90.00
Sites, in units of the cell vectors:
Cu 0.000 0.000 0.000
Se 0.000 0.000 0.500
Se 0.000 0.500 0.000
Se 0.500 0.000 0.000
F 0.500 0.500 0.500

ii:
## CuSe3F (PBE)

Data for CuSe3F after structural relaxation.

As for the crystal system: cubic.

Unit cell a=4.620 b=4.620 c=4.620 alpha=90.00 beta=90.00 gamma=90.00
Sites, in units of the cell vectors:
Cu 0.000 0.000 0.000
Se 0.000 0.500 0.500
Se 0.500 0.000 0.500
Se 0.500 0.500 0.000
F 0.500 0.500 0.500

Which of them is the most stable? Correct choice: i.

i:
## Cu3SeF (PBE)

Data for Cu3SeF after structural relaxation.

As for the crystal system: cubic.

Unit cell a=4.186 b=4.186 c=4.186 alpha=90.00 beta=90.00 gamma=90.00
Sites, in units of the cell vectors:
Cu 0.000 0.000 0.500
Cu 0.000 0.500 0.000
Cu 0.500 0.000 0.000
Se 0.500 0.500 0.500
F 0.000 0.000 0.000

ii:
## Cu3SeF (PBE)

Data for Cu3SeF after structural relaxation.

As for the crystal system: trigonal.

Unit cell a=6.392 b=6.392 c=6.392 alpha=53.13 beta=53.13 gamma=53.13
Sites, in units of the cell vectors:
Cu 0.028 0.240 0.732
Cu 0.232 0.740 0.528
Cu 0.240 0.732 0.028
Cu 0.528 0.232 0.740
Cu 0.732 0.028 0.240
Cu 0.740 0.528 0.232
Se 0.118 0.118 0.118
Se 0.618 0.618 0.618
F 0.320 0.320 0.320
F 0.820 0.820 0.820

iii:
## Cu3SeF (PBE)

Data for Cu3SeF after structural relaxation.

As for the crystal system: cubic.

Unit cell a=4.516 b=4.516 c=4.516 alpha=90.00 beta=90.00 gamma=90.00
Sites, in units of the cell vectors:
Cu 0.000 0.000 0.500
Cu 0.000 0.500 0.000
Cu 0.500 0.000 0.000
Se 0.000 0.000 0.000
F 0.500 0.500 0.500

Which of them is the most stable? Correct choice: ii.

i:
## CuSi3F (PBE)

Data for CuSi3F after structural relaxation.

As for the crystal system: cubic.

Unit cell a=4.498 b=4.498 c=4.498 alpha=90.00 beta=90.00 gamma=90.00
Sites, in units of the cell vectors:
Cu 0.000 0.000 0.000
Si 0.000 0.000 0.500
Si 0.000 0.500 0.000
Si 0.500 0.000 0.000
F 0.500 0.500 0.500

ii:
## CuSi3F (PBE)

Data for CuSi3F after structural relaxation.

As for the crystal system: cubic.

Unit cell a=4.312 b=4.312 c=4.312 alpha=90.00 beta=90.00 gamma=90.00
Sites, in units of the cell vectors:
Cu 0.000 0.000 0.000
Si 0.000 0.500 0.500
Si 0.500 0.000 0.500
Si 0.500 0.500 0.000
F 0.500 0.500 0.500

Which of them is the most stable? Correct choice: i.